Material: CuPd4S
Method: DFT, GGA-PBE
State: relaxed Values from VASP.

Calculated values
Raw formation energy in meV/atom: -8
Mass density in Mg/m³: 8.94
Raw total energy in eV per cell: -58.1

Geometry as Quantum ESPRESSO input:
```
&SYSTEM
  ibrav = 0, nat = 12, ntyp = 3
/
ATOMIC_SPECIES
Cu 63.55 Cu.upf
Pd 106.42 Pd.upf
S 32.06 S.upf
ATOMIC_POSITIONS angstrom
Cu 0.812 2.675 1.584
Cu 1.404 -0.082 4.753
Pd 4.943 0.983 0.043
Pd 2.295 4.039 0.043
Pd -0.305 1.472 3.567
Pd 2.520 1.121 2.770
Pd -0.896 4.228 2.770
Pd -0.080 -1.446 6.294
Pd 3.112 -1.635 3.567
Pd -2.728 1.610 6.294
S -1.995 2.838 4.474
S 4.211 -0.245 1.863
CELL_PARAMETERS angstrom
5.614 -0.327 0.000
-1.183 5.512 0.000
-2.216 -2.593 6.337
```